AgTe (PBE, optimized geometry); total energy = -23.73 eV for the cell shown; uncorrected formation energy = 0.03 eV per atom; total moment = 0.00 Bohr magnetons per cell; crystal system = orthorhombic
1.0
-4.2699 -0.7814 -1.4547
1.3453 -6.2415 -0.5960
-2.3982 -1.2534 7.7128
Ag Te
4 4
direct
0.2500 0.1297 0.4420
0.7500 0.3703 0.9420
0.7500 0.8703 0.5580
0.2500 0.6297 0.0580
0.2500 0.8599 0.7474
0.7500 0.6401 0.2474
0.7500 0.1401 0.2526
0.2500 0.3599 0.7526